Computed, not measured: a relaxed structure of Ge5Te3Au12 at the PBE level of DFT.

Computed properties:
**Volume**: 1931 Å³/cell
**Total magnetization**: 0.00 μB/f.u.
**Density of states at the Fermi level**: 48.8 states/eV per cell
**Uncorrected energy**: -3.429 eV per atom

CIF file:
```
data_Ge5Te3Au12
_space_group_name_H-M_alt 'P 1'
_space_group_IT_number 1
_cell_length_a 13.5883
_cell_length_b 13.5883
_cell_length_c 13.5883
_cell_angle_alpha 109.47
_cell_angle_beta 109.47
_cell_angle_gamma 109.47
loop_
_space_group_symop_operation_xyz
'x,y,z'
loop_
_atom_site_label
_atom_site_type_symbol
_atom_site_fract_x
_atom_site_fract_y
_atom_site_fract_z
_atom_site_occupancy
Te1 Te 0.7500 0.3750 0.1250 1
Te2 Te 0.8750 0.7500 0.1250 1
Te3 Te 0.3750 0.7500 0.6250 1
Te4 Te 0.2500 0.1250 0.3750 1
Te5 Te 0.8750 0.1250 0.2500 1
Te6 Te 0.3750 0.6250 0.2500 1
Te7 Te 0.6250 0.3750 0.7500 1
Te8 Te 0.1250 0.8750 0.7500 1
Te9 Te 0.7500 0.8750 0.6250 1
Te10 Te 0.6250 0.2500 0.3750 1
Te11 Te 0.1250 0.2500 0.8750 1
Te12 Te 0.2500 0.6250 0.8750 1
Ge1 Ge 0.1250 0.3750 0.2500 1
Ge2 Ge 0.0000 0.5000 0.0000 1
Ge3 Ge 0.0000 0.0000 0.0000 1
Ge4 Ge 0.3750 0.2500 0.1250 1
Ge5 Ge 0.5000 0.0000 0.5000 1
Ge6 Ge 0.5000 0.5000 0.0000 1
Ge7 Ge 0.1250 0.7500 0.3750 1
Ge8 Ge 0.7500 0.1250 0.8750 1
Ge9 Ge 0.7500 0.6250 0.3750 1
Ge10 Ge 0.3750 0.1250 0.7500 1
Ge11 Ge 0.6250 0.8750 0.2500 1
Ge12 Ge 0.5000 0.5000 0.5000 1
Ge13 Ge 0.5000 0.0000 0.0000 1
Ge14 Ge 0.0000 0.0000 0.5000 1
Ge15 Ge 0.2500 0.3750 0.6250 1
Ge16 Ge 0.2500 0.8750 0.1250 1
Ge17 Ge 0.0000 0.5000 0.5000 1
Ge18 Ge 0.8750 0.2500 0.6250 1
Ge19 Ge 0.6250 0.7500 0.8750 1
Ge20 Ge 0.8750 0.6250 0.7500 1
Au1 Au 0.7210 0.1274 0.0487 1
Au2 Au 0.3277 0.5487 0.4213 1
Au3 Au 0.9513 0.3726 0.2790 1
Au4 Au 0.5487 0.2210 0.1274 1
Au5 Au 0.5936 0.7210 0.6723 1
Au6 Au 0.9513 0.5787 0.1723 1
Au7 Au 0.3277 0.7790 0.4064 1
Au8 Au 0.0787 0.9064 0.1274 1
Au9 Au 0.5787 0.9513 0.6723 1
Au10 Au 0.7210 0.5936 0.1723 1
Au11 Au 0.7790 0.4513 0.3726 1
Au12 Au 0.8277 0.9213 0.0487 1
Au13 Au 0.1274 0.7210 0.5487 1
Au14 Au 0.3726 0.4213 0.0936 1
Au15 Au 0.0936 0.9213 0.3726 1
Au16 Au 0.4064 0.1274 0.5787 1
Au17 Au 0.0936 0.1723 0.2210 1
Au18 Au 0.4513 0.6723 0.0787 1
Au19 Au 0.8277 0.9064 0.2790 1
Au20 Au 0.1274 0.4064 0.0787 1
Au21 Au 0.3726 0.9513 0.7790 1
Au22 Au 0.5787 0.6274 0.4064 1
Au23 Au 0.9213 0.8277 0.5487 1
Au24 Au 0.7790 0.3277 0.9064 1
Au25 Au 0.4213 0.3726 0.5936 1
Au26 Au 0.0787 0.1723 0.4513 1
Au27 Au 0.2210 0.6723 0.0936 1
Au28 Au 0.1723 0.0936 0.7210 1
Au29 Au 0.6274 0.0487 0.2210 1
Au30 Au 0.8726 0.5936 0.9213 1
Au31 Au 0.5487 0.3277 0.9213 1
Au32 Au 0.5936 0.8726 0.4213 1
Au33 Au 0.9064 0.8277 0.7790 1
Au34 Au 0.9064 0.0787 0.6274 1
Au35 Au 0.8726 0.2790 0.4513 1
Au36 Au 0.1723 0.0787 0.9513 1
Au37 Au 0.6274 0.5787 0.9064 1
Au38 Au 0.4213 0.0487 0.3277 1
Au39 Au 0.2790 0.4064 0.8277 1
Au40 Au 0.2210 0.5487 0.6274 1
Au41 Au 0.9213 0.0936 0.8726 1
Au42 Au 0.6723 0.2210 0.5936 1
Au43 Au 0.4513 0.7790 0.8726 1
Au44 Au 0.0487 0.4213 0.8277 1
Au45 Au 0.4064 0.2790 0.3277 1
Au46 Au 0.0487 0.6274 0.7210 1
Au47 Au 0.6723 0.4513 0.5787 1
Au48 Au 0.2790 0.8726 0.9513 1
```


Computed, not measured: a relaxed structure of CsLiGa2Pt at the PBE level of DFT.

Computed properties:
**Volume**: 131 Å³/cell
**Total magnetization**: 0.00 μB/f.u.
**Formation enthalpy at 0 K**: -0.335 eV per atom
**Density of states at the Fermi level**: 1.0 states/eV per cell
**Uncorrected energy**: -3.307 eV per atom

CIF file:
```
data_CsLiGa2Pt
_space_group_name_H-M_alt 'P 1'
_space_group_IT_number 1
_cell_length_a 4.8970
_cell_length_b 4.8970
_cell_length_c 5.4424
_cell_angle_alpha 90.00
_cell_angle_beta 90.00
_cell_angle_gamma 90.00
loop_
_space_group_symop_operation_xyz
'x,y,z'
loop_
_atom_site_label
_atom_site_type_symbol
_atom_site_fract_x
_atom_site_fract_y
_atom_site_fract_z
_atom_site_occupancy
Cs1 Cs 0.5000 0.5000 0.5000 1
Ga1 Ga 0.0000 0.5000 0.0000 1
Ga2 Ga 0.5000 0.0000 0.0000 1
Pt1 Pt 0.0000 0.0000 0.0000 1
Li1 Li 0.0000 0.0000 0.5000 1
```


Computed, not measured: a relaxed structure of NaPrPt10 at the PBE level of DFT.

Computed properties:
**Volume**: 223 Å³/cell
**Total magnetization**: 0.00 μB/f.u.
**Formation enthalpy at 0 K**: -0.442 eV per atom
**Density of states at the Fermi level**: 6.8 states/eV per cell
**Uncorrected energy**: -5.984 eV per atom

CIF file:
```
data_NaPrPt10
_space_group_name_H-M_alt 'P 1'
_space_group_IT_number 1
_cell_length_a 4.4123
_cell_length_b 5.4289
_cell_length_c 9.3255
_cell_angle_alpha 90.00
_cell_angle_beta 90.00
_cell_angle_gamma 90.00
loop_
_space_group_symop_operation_xyz
'x,y,z'
loop_
_atom_site_label
_atom_site_type_symbol
_atom_site_fract_x
_atom_site_fract_y
_atom_site_fract_z
_atom_site_occupancy
Na1 Na 0.0000 0.5000 0.5000 1
Pr1 Pr 0.0000 0.0000 0.0000 1
Pt1 Pt 0.0000 0.0000 0.3371 1
Pt2 Pt 0.0000 0.5000 0.8292 1
Pt3 Pt 0.0000 0.5000 0.1708 1
Pt4 Pt 0.0000 0.0000 0.6629 1
Pt5 Pt 0.5000 0.0000 0.5000 1
Pt6 Pt 0.5000 0.5000 0.0000 1
Pt7 Pt 0.5000 0.2478 0.2480 1
Pt8 Pt 0.5000 0.7522 0.7520 1
Pt9 Pt 0.5000 0.7522 0.2480 1
Pt10 Pt 0.5000 0.2478 0.7520 1
```


Computed, not measured: a relaxed structure of Tb5Sm2Bi4 at the PBE level of DFT.

Computed properties:
**Volume**: 359 Å³/cell
**Total magnetization**: 0.18 μB/f.u.
**Formation enthalpy at 0 K**: -0.529 eV per atom
**Density of states at the Fermi level**: 15.0 states/eV per cell
**Uncorrected energy**: -4.903 eV per atom

CIF file:
```
data_Tb5Sm2Bi4
_space_group_name_H-M_alt 'P 1'
_space_group_IT_number 1
_cell_length_a 4.3486
_cell_length_b 8.6813
_cell_length_c 9.7866
_cell_angle_alpha 94.05
_cell_angle_beta 102.84
_cell_angle_gamma 90.00
loop_
_space_group_symop_operation_xyz
'x,y,z'
loop_
_atom_site_label
_atom_site_type_symbol
_atom_site_fract_x
_atom_site_fract_y
_atom_site_fract_z
_atom_site_occupancy
Tb1 Tb 0.1731 0.9954 0.3462 1
Tb2 Tb 0.8269 0.0046 0.6538 1
Tb3 Tb 0.0831 0.6257 0.1663 1
Tb4 Tb 0.5000 0.0000 0.0000 1
Tb5 Tb 0.9169 0.3743 0.8337 1
Sm1 Sm 0.6874 0.3451 0.3747 1
Sm2 Sm 0.3126 0.6549 0.6253 1
Bi1 Bi 0.6952 0.7254 0.3903 1
Bi2 Bi 0.9353 0.7435 0.8706 1
Bi3 Bi 0.3048 0.2746 0.6097 1
Bi4 Bi 0.0647 0.2565 0.1294 1
```


Computed, not measured: a relaxed structure of AcBiHPd6 at the PBE level of DFT.

Computed properties:
**Volume**: 337 Å³/cell
**Total magnetization**: 0.00 μB/f.u.
**Density of states at the Fermi level**: 9.9 states/eV per cell
**Uncorrected energy**: -4.990 eV per atom

CIF file:
```
data_AcBiHPd6
_space_group_name_H-M_alt 'P 1'
_space_group_IT_number 1
_cell_length_a 8.1144
_cell_length_b 7.4427
_cell_length_c 7.8373
_cell_angle_alpha 118.35
_cell_angle_beta 121.18
_cell_angle_gamma 90.00
loop_
_space_group_symop_operation_xyz
'x,y,z'
loop_
_atom_site_label
_atom_site_type_symbol
_atom_site_fract_x
_atom_site_fract_y
_atom_site_fract_z
_atom_site_occupancy
Ac1 Ac 0.8181 0.5681 0.6361 1
Ac2 Ac 0.1819 0.4319 0.3639 1
Bi1 Bi 0.5000 0.0000 0.5000 1
Bi2 Bi 0.0000 0.0000 0.5000 1
H1 H 0.5000 0.5000 0.0000 1
H2 H 0.5000 0.0000 0.0000 1
Pd1 Pd 0.5461 0.7961 0.0923 1
Pd2 Pd 0.9178 0.1678 0.8355 1
Pd3 Pd 0.8127 0.1728 0.2387 1
Pd4 Pd 0.4260 0.5659 0.2387 1
Pd5 Pd 0.4260 0.1728 0.2387 1
Pd6 Pd 0.8127 0.5659 0.2387 1
Pd7 Pd 0.4539 0.2039 0.9077 1
Pd8 Pd 0.0822 0.8322 0.1645 1
Pd9 Pd 0.1873 0.8272 0.7613 1
Pd10 Pd 0.5740 0.4341 0.7613 1
Pd11 Pd 0.5740 0.8272 0.7613 1
Pd12 Pd 0.1873 0.4341 0.7613 1
```


Computed, not measured: a relaxed structure of CsCaPuF6 at the PBE level of DFT.

Computed properties:
**Volume**: 431 Å³/cell
**Total magnetization**: 5.00 μB/f.u.
**Density of states at the Fermi level**: 10.2 states/eV per cell
**Uncorrected energy**: -6.656 eV per atom

CIF file:
```
data_CsCaPuF6
_space_group_name_H-M_alt 'P 1'
_space_group_IT_number 1
_cell_length_a 8.3371
_cell_length_b 8.6375
_cell_length_c 8.4730
_cell_angle_alpha 120.64
_cell_angle_beta 119.47
_cell_angle_gamma 90.00
loop_
_space_group_symop_operation_xyz
'x,y,z'
loop_
_atom_site_label
_atom_site_type_symbol
_atom_site_fract_x
_atom_site_fract_y
_atom_site_fract_z
_atom_site_occupancy
Cs1 Cs 0.9476 0.6976 0.8951 1
Cs2 Cs 0.0524 0.3024 0.1049 1
Ca1 Ca 0.5000 0.0000 0.5000 1
Ca2 Ca 0.0000 0.0000 0.5000 1
Pu1 Pu 0.5000 0.5000 0.0000 1
Pu2 Pu 0.5000 0.0000 0.0000 1
F1 F 0.4290 0.6790 0.8579 1
F2 F 0.8104 0.0604 0.6208 1
F3 F 0.8214 0.0467 0.2283 1
F4 F 0.4069 0.6816 0.2283 1
F5 F 0.4069 0.0467 0.2283 1
F6 F 0.8214 0.6816 0.2283 1
F7 F 0.5710 0.3210 0.1421 1
F8 F 0.1896 0.9396 0.3792 1
F9 F 0.1786 0.9533 0.7717 1
F10 F 0.5931 0.3184 0.7717 1
F11 F 0.5931 0.9533 0.7717 1
F12 F 0.1786 0.3184 0.7717 1
```


Computed, not measured: a relaxed structure of Cd4Ag at the PBE level of DFT.

Computed properties:
**Volume**: 118 Å³/cell
**Total magnetization**: 0.00 μB/f.u.
**Distance to the lowest polymorph of the same formula**: 166 meV per atom
**Formation enthalpy at 0 K**: 0.164 eV per atom
**Density of states at the Fermi level**: 2.1 states/eV per cell
**Uncorrected energy**: -1.138 eV per atom

CIF file:
```
data_Cd4Ag
_space_group_name_H-M_alt 'P 1'
_space_group_IT_number 1
_cell_length_a 7.8561
_cell_length_b 7.8561
_cell_length_c 7.8561
_cell_angle_alpha 150.35
_cell_angle_beta 150.35
_cell_angle_gamma 42.43
loop_
_space_group_symop_operation_xyz
'x,y,z'
loop_
_atom_site_label
_atom_site_type_symbol
_atom_site_fract_x
_atom_site_fract_y
_atom_site_fract_z
_atom_site_occupancy
Cd1 Cd 0.7500 0.2500 0.5000 1
Cd2 Cd 0.4060 0.4060 0.0000 1
Cd3 Cd 0.5940 0.5940 0.0000 1
Cd4 Cd 0.2500 0.7500 0.5000 1
Ag1 Ag 0.0000 0.0000 0.0000 1
```


Computed, not measured: a relaxed structure of KNbW2I at the PBE level of DFT.

Computed properties:
**Volume**: 109 Å³/cell
**Total magnetization**: 0.23 μB/f.u.
**Density of states at the Fermi level**: 7.9 states/eV per cell
**Uncorrected energy**: -4.162 eV per atom

CIF file:
```
data_KNbW2I
_space_group_name_H-M_alt 'P 1'
_space_group_IT_number 1
_cell_length_a 4.7655
_cell_length_b 4.8001
_cell_length_c 4.7655
_cell_angle_alpha 90.00
_cell_angle_beta 90.00
_cell_angle_gamma 90.00
loop_
_space_group_symop_operation_xyz
'x,y,z'
loop_
_atom_site_label
_atom_site_type_symbol
_atom_site_fract_x
_atom_site_fract_y
_atom_site_fract_z
_atom_site_occupancy
I1 I 0.5000 0.5000 0.5000 1
Nb1 Nb 0.0000 0.5000 0.0000 1
K1 K 0.0000 0.0000 0.0000 1
W1 W 0.0000 0.0000 0.5000 1
W2 W 0.5000 0.0000 0.0000 1
```